(1)
Computed, not measured: crystalline ZrNbAl at its relaxed geometry at the PBE level of DFT.

Values from the calculation:
Uncorrected energy in eV per atom: -7.1858
Space-group type: F-43m (216)
Total magnetic moment in μB/f.u.: 0.012

Cell: 6.3759 6.3759 6.3759 Å, 90.00 90.00 90.00°
Fractional positions:
Zr  0.0000  0.0000  0.0000
Zr  0.0000  0.5000  0.5000
Zr  0.5000  0.0000  0.5000
Zr  0.5000  0.5000  0.0000
Nb  0.0000  0.0000  0.5000
Nb  0.0000  0.5000  0.0000
Nb  0.5000  0.0000  0.0000
Nb  0.5000  0.5000  0.5000
Al  0.2500  0.2500  0.7500
Al  0.2500  0.7500  0.2500
Al  0.7500  0.2500  0.2500
Al  0.7500  0.7500  0.7500

=====

(2)
Computed, not measured: crystalline ZrNb2Al at its relaxed geometry at the PBE level of DFT.

Values from the calculation:
Uncorrected energy in eV per atom: -8.2427
Space-group type: F-43m (216)
Total magnetic moment in μB/f.u.: 0.006

Cell: 6.6973 6.6973 6.6973 Å, 90.00 90.00 90.00°
Fractional positions:
Zr  0.0000  0.0000  0.0000
Zr  0.0000  0.5000  0.5000
Zr  0.5000  0.0000  0.5000
Zr  0.5000  0.5000  0.0000
Nb  0.0000  0.0000  0.5000
Nb  0.0000  0.5000  0.0000
Nb  0.2500  0.2500  0.2500
Nb  0.2500  0.7500  0.7500
Nb  0.5000  0.0000  0.0000
Nb  0.5000  0.5000  0.5000
Nb  0.7500  0.2500  0.7500
Nb  0.7500  0.7500  0.2500
Al  0.2500  0.2500  0.7500
Al  0.2500  0.7500  0.2500
Al  0.7500  0.2500  0.2500
Al  0.7500  0.7500  0.7500

=====

> Which of these has the lowest total magnetic moment?

ZrNb2Al

=====

What did the first record say?
Computed, not measured: crystalline ZrNbAl at its relaxed geometry at the PBE level of DFT.

Values from the calculation:
Uncorrected energy in eV per atom: -7.1858
Space-group type: F-43m (216)
Total magnetic moment in μB/f.u.: 0.012

Cell: 6.3759 6.3759 6.3759 Å, 90.00 90.00 90.00°
Fractional positions:
Zr  0.0000  0.0000  0.0000
Zr  0.0000  0.5000  0.5000
Zr  0.5000  0.0000  0.5000
Zr  0.5000  0.5000  0.0000
Nb  0.0000  0.0000  0.5000
Nb  0.0000  0.5000  0.0000
Nb  0.5000  0.0000  0.0000
Nb  0.5000  0.5000  0.5000
Al  0.2500  0.2500  0.7500
Al  0.2500  0.7500  0.2500
Al  0.7500  0.2500  0.2500
Al  0.7500  0.7500  0.7500

=====

> Number 1 is which compound?

ZrNbAl

=====

> Number 1 is which compound?

ZrNbAl